[1]
The following is a PBE calculation of crystalline Li4NCl at its relaxed geometry, from Alexandria via LeMat-Bulk.

```
Li4NCl
1.0
6.5544 0.0000 0.0000
0.0000 4.9233 0.0000
-1.6002 0.0000 5.5900
Li N Cl
8 2 2
Cartesian
0.0705 1.1436 1.6127
-0.7296 1.3181 4.4077
0.8537 3.1993 3.4144
1.6538 4.1857 0.6194
3.3005 0.7377 4.9706
4.1006 1.7240 2.1756
5.6838 3.6052 1.1823
4.8837 3.7798 3.9773
0.0000 0.0000 0.0000
-0.8001 2.4617 2.7950
2.4771 0.0000 2.7950
3.2772 2.4617 0.0000
```

## Properties
- space-group type = P2_1/c
- M_tot (μB/atom) = 0.000
- ΔE to the lowest computed polymorph (eV per atom) = 0.0418
- crystal system = monoclinic
- calculated density (g/cm3) = 1.4
- ΔE_f (raw) (eV per atom) = -0.81

[2]
The following is a PBE calculation of crystalline Li4NCl at its relaxed geometry, from Alexandria via LeMat-Bulk.

```
Li4NCl
1.0
1.8284 1.0556 6.6579
-1.8284 1.0556 6.6579
0.0000 -2.1112 6.6579
Li N Cl
4 1 1
Cartesian
0.0000 0.0000 1.9362
0.0000 0.0000 6.8797
0.0000 0.0000 13.0940
0.0000 0.0000 18.0376
0.0000 0.0000 0.0000
0.0000 0.0000 9.9869
```

## Properties
- space-group type = R-3m
- M_tot (μB/atom) = 0.000
- ΔE to the lowest computed polymorph (eV per atom) = 0.0000
- crystal system = trigonal
- calculated density (g/cm3) = 1.7
- ΔE_f (raw) (eV per atom) = -0.86

[3]
The following is a PBE calculation of crystalline Li6NCl3 at its relaxed geometry, from Alexandria via LeMat-Bulk.

```
Li6NCl3
1.0
5.3375 -3.0094 0.0000
5.3375 3.0094 0.0000
-3.2702 0.0000 4.9794
Li N Cl
6 1 3
Cartesian
2.4701 1.6702 3.1639
-0.6304 0.0000 4.1523
4.9346 1.6702 1.8155
2.4701 -1.6702 3.1639
8.0352 0.0000 0.8271
4.9346 -1.6702 1.8155
-1.6351 0.0000 2.4897
1.7587 0.0000 1.4048
5.3375 0.0000 0.0000
5.6461 0.0000 3.5746
```

## Properties
- space-group type = C2/m
- M_tot (μB/atom) = 0.013
- crystal system = monoclinic
- calculated density (g/cm3) = 1.7
- ΔE_f (raw) (eV per atom) = -1.21

[4]
The following is a PBE calculation of crystalline LiNCl3 at its relaxed geometry, from Alexandria via LeMat-Bulk.

```
LiNCl3
1.0
4.8542 0.0000 0.0000
0.0000 4.8542 0.0000
0.0000 0.0000 4.8542
Li N Cl
1 1 3
Cartesian
0.0000 0.0000 0.0000
2.4271 2.4271 2.4271
0.0000 0.0000 2.4271
0.0000 2.4271 0.0000
2.4271 0.0000 0.0000
```

## Properties
- space-group type = Pm-3m
- M_tot (μB/atom) = 0.200
- ΔE to the lowest computed polymorph (eV per atom) = 0.4288
- crystal system = cubic
- calculated density (g/cm3) = 1.8
- ΔE_f (raw) (eV per atom) = 0.72

[5]
The following is a PBE calculation of crystalline Li6NCl3 at its relaxed geometry, from Alexandria via LeMat-Bulk.

```
Li6NCl3
1.0
3.1627 -1.8260 0.0000
3.1627 1.8260 0.0000
-0.0054 0.0000 12.5985
Li N Cl
6 1 3
Cartesian
0.0028 0.0013 1.9382
2.1012 0.0046 7.7831
2.1089 0.0000 0.2222
4.2189 0.0046 4.8153
4.2112 0.0000 12.3763
6.3173 0.0013 10.6602
3.1627 1.8259 0.0000
2.1116 0.0033 3.3269
4.2085 0.0033 9.2716
3.1600 -1.8206 6.2992
```

## Properties
- space-group type = C2
- M_tot (μB/atom) = 0.000
- crystal system = monoclinic
- calculated density (g/cm3) = 1.8
- ΔE_f (raw) (eV per atom) = -1.24

[6]
The following is a PBE calculation of crystalline Li3NCl at its relaxed geometry, from Alexandria via LeMat-Bulk.

```
Li3NCl
1.0
6.2238 -1.6350 0.0000
6.2238 1.6350 0.0000
-0.7959 0.0000 7.0940
Li N Cl
6 2 2
Cartesian
0.2944 0.0000 2.1157
1.8917 0.0000 3.9569
3.3451 0.0000 6.2525
8.3067 0.0000 0.8416
9.7601 0.0000 3.1371
11.3573 0.0000 4.9784
4.0263 0.0000 4.3592
7.6255 0.0000 2.7349
0.9124 0.0000 6.2781
10.7394 0.0000 0.8159
```

## Properties
- space-group type = C2/m
- M_tot (μB/atom) = 0.201
- ΔE to the lowest computed polymorph (eV per atom) = 0.0338
- crystal system = monoclinic
- calculated density (g/cm3) = 1.6
- ΔE_f (raw) (eV per atom) = -0.63

[7]
The following is a PBE calculation of crystalline Li5NCl2 at its relaxed geometry, from Alexandria via LeMat-Bulk.

```
Li5NCl2
1.0
1.8269 1.0548 9.6248
-1.8269 1.0548 9.6248
0.0000 -2.1095 9.6248
Li N Cl
5 1 2
Cartesian
0.0000 0.0000 0.0000
0.0000 0.0000 5.0341
0.0000 0.0000 12.5008
0.0000 0.0000 16.3735
0.0000 0.0000 23.8403
0.0000 0.0000 14.4372
0.0000 0.0000 8.1377
0.0000 0.0000 20.7367
```

## Properties
- space-group type = R-3m
- M_tot (μB/atom) = 0.000
- crystal system = trigonal
- calculated density (g/cm3) = 1.8
- ΔE_f (raw) (eV per atom) = -1.09

[8]
The following is a PBE calculation of crystalline Li2NCl at its relaxed geometry, from Alexandria via LeMat-Bulk.

```
Li2NCl
1.0
0.0000 2.9805 2.9805
2.9805 0.0000 2.9805
2.9805 2.9805 0.0000
Li N Cl
2 1 1
Cartesian
1.4903 1.4903 1.4903
4.4708 4.4708 4.4708
0.0000 0.0000 0.0000
2.9805 2.9805 2.9805
```

## Properties
- space-group type = Fm-3m
- M_tot (μB/atom) = 0.500
- ΔE to the lowest computed polymorph (eV per atom) = 0.1401
- crystal system = cubic
- calculated density (g/cm3) = 2.0
- ΔE_f (raw) (eV per atom) = -0.04

[9]
The following is a PBE calculation of crystalline Li7N2Cl at its relaxed geometry, from Alexandria via LeMat-Bulk.

```
Li7N2Cl
1.0
3.2448 -5.2362 0.0000
3.2448 5.2362 0.0000
0.0000 0.0000 3.8298
Li N Cl
7 2 1
Cartesian
0.0000 0.0000 0.0000
2.0149 1.6129 0.0000
3.2448 3.2539 1.9149
2.0149 -1.6129 0.0000
4.4747 1.6129 0.0000
3.2448 -3.2539 1.9149
4.4747 -1.6129 0.0000
3.2448 3.2759 0.0000
3.2448 -3.2759 0.0000
3.2448 0.0000 1.9149
```

## Properties
- space-group type = Cmmm
- M_tot (μB/atom) = 0.000
- ΔE to the lowest computed polymorph (eV per atom) = 0.0190
- crystal system = orthorhombic
- calculated density (g/cm3) = 1.4
- ΔE_f (raw) (eV per atom) = -0.64

[10]
The following is a PBE calculation of crystalline Na2Li4NCl2 at its relaxed geometry, from Alexandria via LeMat-Bulk.

```
Na2Li4NCl2
1.0
-2.9627 2.9627 5.0226
2.9627 -2.9627 5.0226
2.9627 2.9627 -5.0226
Na Li N Cl
2 4 1 2
Cartesian
0.0000 0.0000 2.3440
0.0000 0.0000 7.7011
1.3309 1.3309 0.0000
1.6319 -1.6319 5.0226
-1.6319 1.6319 5.0226
1.6319 1.6319 5.0226
0.0000 0.0000 0.0000
2.9627 0.0000 2.5113
0.0000 2.9627 2.5113
```

## Properties
- space-group type = I4/mmm
- M_tot (μB/atom) = 0.104
- crystal system = tetragonal
- calculated density (g/cm3) = 1.5
- ΔE_f (raw) (eV per atom) = -0.71

[11]
The following is a PBE calculation of crystalline Li2NbNCl at its relaxed geometry, from Alexandria via LeMat-Bulk.

```
Li2NbNCl
1.0
3.9022 0.0000 0.0000
0.0000 3.9022 0.0000
0.0000 0.0000 4.8030
Li Nb N Cl
2 1 1 1
Cartesian
0.0000 1.9511 0.0000
1.9511 0.0000 0.0000
0.0000 0.0000 2.4015
1.9511 1.9511 2.4015
0.0000 0.0000 0.0000
```

## Properties
- space-group type = P4/mmm
- M_tot (μB/atom) = 0.000
- crystal system = tetragonal
- calculated density (g/cm3) = 3.5
- ΔE_f (raw) (eV per atom) = 0.61

[12]
The following is a PBE calculation of crystalline LiNiNCl2 at its relaxed geometry, from Alexandria via LeMat-Bulk.

```
LiNiNCl2
1.0
4.4934 0.0000 0.0000
0.0000 4.4934 0.0000
0.0000 0.0000 4.9990
Li Ni N Cl
1 1 1 2
Cartesian
0.0000 0.0000 0.0000
0.0000 0.0000 2.4995
2.2467 2.2467 0.0000
0.0000 2.2467 2.4995
2.2467 0.0000 2.4995
```

## Properties
- space-group type = P4/mmm
- M_tot (μB/atom) = 0.601
- crystal system = tetragonal
- calculated density (g/cm3) = 2.5
- ΔE_f (raw) (eV per atom) = 0.58